# Na2YUO6

A relaxed structure of Na2YUO6 (GGA-PBE, Alexandria via LeMat-Bulk).

```
Na2YUO6
1.0
5.8104 0.0000 -0.0142
0.0000 5.9541 0.0000
0.0307 0.0000 8.3194
O Na U Y
12 4 2 2
Direct
0.9005 0.5405 0.2376 O
0.7896 0.8112 0.5493 O
0.3163 0.7122 0.4454 O
0.7104 0.3112 0.9507 O
0.6837 0.2878 0.5546 O
0.2104 0.1888 0.4507 O
0.1837 0.2122 0.0546 O
0.0995 0.4595 0.7624 O
0.8163 0.7878 0.9454 O
0.2896 0.6888 0.0493 O
0.5995 0.0405 0.2624 O
0.4005 0.9595 0.7376 O
0.9931 0.0371 0.7487 Na
0.5069 0.5371 0.7513 Na
0.0069 0.9629 0.2513 Na
0.4931 0.4629 0.2487 Na
0.0000 0.5000 0.0000 U
0.5000 0.0000 0.5000 U
0.5000 0.0000 0.0000 Y
0.0000 0.5000 0.5000 Y
```

Summary:
Fermi-level density of states, states/eV/cell: 19.45
Formation energy from raw total energies, kJ/mol of atoms: -253.1